(1)
Below is crystalline BeReCl at its relaxed geometry, with properties calculated at the PBE-GGA level.

Calculated values
The uncorrected formation energy is 0.37 eV/atom. As for the energy above the most stable polymorph in this dataset: 89.3 meV/atom. The crystal system is orthorhombic. The density of states at the Fermi level is 0.660 states/eV per atom.

Unit cell a=6.244 b=6.244 c=6.244 alpha=154.58 beta=154.04 gamma=36.65
Fractional positions:
Be 0.000 0.000 0.000
Re 0.372 0.372 0.000
Cl 0.177 0.177 0.000

(2)
Below is crystalline BeRe2Cl at its relaxed geometry, with properties calculated at the PBE-GGA level.

Calculated values
The uncorrected formation energy is 0.89 eV/atom. As for the energy above the most stable polymorph in this dataset: 779.6 meV/atom. The crystal system is orthorhombic. The density of states at the Fermi level is 0.819 states/eV per atom.

Unit cell a=2.725 b=4.418 c=4.792 alpha=90.00 beta=90.00 gamma=90.00
Fractional positions:
Be 0.000 0.000 0.000
Re 0.000 0.500 0.500
Re 0.500 0.500 0.000
Cl 0.500 0.000 0.500

(3)
Below is crystalline BeRe2Cl at its relaxed geometry, with properties calculated at the PBE-GGA level.

Calculated values
The uncorrected formation energy is 0.16 eV/atom. As for the energy above the most stable polymorph in this dataset: 45.2 meV/atom. The crystal system is trigonal. The density of states at the Fermi level is 0.500 states/eV per atom.

Unit cell a=9.686 b=9.686 c=9.686 alpha=16.90 beta=16.90 gamma=16.90
Fractional positions:
Be 0.000 0.000 0.000
Re 0.262 0.262 0.262
Re 0.524 0.524 0.524
Cl 0.712 0.712 0.712

(4)
Below is crystalline Be2ReCl at its relaxed geometry, with properties calculated at the PBE-GGA level.

Calculated values
The uncorrected formation energy is 0.28 eV/atom. As for the energy above the most stable polymorph in this dataset: 214.8 meV/atom. The crystal system is monoclinic. The density of states at the Fermi level is 0.368 states/eV per atom.

Unit cell a=4.139 b=4.139 c=5.794 alpha=96.41 beta=96.41 gamma=39.06
Fractional positions:
Be 0.000 0.000 0.000
Be 0.738 0.738 0.184
Re 0.474 0.474 0.316
Cl 0.069 0.069 0.670